[1]
{"formula": "HfPbO3", "functional": "PBE", "state": "relaxed", "lattice_angstrom": [[-1.7884, 1.7884, 13.1500], [1.7884, -1.7884, 13.1500], [1.7884, 1.7884, -13.1500]], "species": ["Hf", "Hf", "Pb", "Pb", "O", "O", "O", "O", "O", "O"], "fractional_positions": [[0.1225, 0.1225, 0.0000], [0.8775, 0.8775, 0.0000], [0.5000, 0.5000, 0.0000], [0.7500, 0.2500, 0.5000], [0.0825, 0.5825, 0.5000], [0.1068, 0.3472, 0.7596], [0.4175, 0.9175, 0.5000], [0.5877, 0.3472, 0.2404], [0.6528, 0.4123, 0.7596], [0.6528, 0.8932, 0.2404]], "sg": "No. 119", "dos_at_fermi_per_ev_cell": 2.48, "formation_energy_uncorrected_mev_per_atom": -1575}



[2]
{"formula": "ZnWBr4", "functional": "PBE", "state": "relaxed", "lattice_angstrom": [[0.0000, 4.3735, 4.3735], [4.3735, 0.0000, 4.3735], [4.3735, 4.3735, 0.0000]], "species": ["Zn", "W", "Br", "Br", "Br", "Br"], "fractional_positions": [[0.0000, 0.0000, 0.0000], [0.2500, 0.2500, 0.2500], [0.1277, 0.6241, 0.6241], [0.6241, 0.1277, 0.6241], [0.6241, 0.6241, 0.1277], [0.6241, 0.6241, 0.6241]], "sg": "No. 216", "dos_at_fermi_per_ev_cell": 7.98, "formation_energy_uncorrected_mev_per_atom": 1457}



Number 1: electronic total energy -36.4 eV/f.u., size of the total moment 0.0 μB/f.u.. Number 2: electronic total energy -12.2 eV/f.u., size of the total moment 3.7 μB/f.u..